VASP calculation (PBE) on a geometry-optimized Pm6ZnFe2 structure.

Output
- Calculated volume: 479.9 Å³/cell
- Calculated formation energy: -0.020 eV per atom

abc: 8.546 8.546 8.546
angles: 107.11 110.05 111.28
Positions (direct):
Pm 0.531 0.715 0.816
Pm 0.469 0.285 0.184
Pm 0.101 0.285 0.816
Pm 0.899 0.715 0.184
Pm 0.795 0.773 0.568
Pm 0.205 0.227 0.432
Pm 0.205 0.773 0.979
Pm 0.795 0.227 0.021
Pm 0.704 0.389 0.685
Pm 0.296 0.611 0.315
Pm 0.296 0.980 0.685
Pm 0.704 0.020 0.315
Zn 0.000 0.500 0.500
Zn 0.000 0.000 0.000
Fe 0.500 0.392 0.892
Fe 0.500 0.608 0.108
Fe 0.616 0.000 0.616
Fe 0.384 0.000 0.384